# La2CdAu2

A geometry-optimized La2CdAu2 structure (GGA-PBE, OQMD).

Lattice parameters (Å, degrees): 8.1912 8.1912 4.0063 90.00 90.00 90.00
Space group P4/mbm (No. 127)
One atom of each set of equivalent atoms:
La  0.1720  0.3280  0.0000 x4
Cd  0.0000  0.0000  0.5000 x2
Au  0.1284  0.6284  0.5000 x4

Computed properties:
- Energy of formation: -0.759 eV/atom
- Theoretical density: 9.69 Mg/m³